Entry from the Alexandria database: a geometry-optimized Be2CuRe2 structure (PBE).

```
data_Be2CuRe2
_cell_length_a 4.210
_cell_length_b 4.210
_cell_length_c 7.602
_cell_angle_alpha 90.00
_cell_angle_beta 90.00
_cell_angle_gamma 90.00
_symmetry_space_group_name_H-M 'I 4/m m m'
_symmetry_Int_Tables_number 139
_symmetry_space_group_name_Hall '-I 4 2'
loop_
_atom_site_label
_atom_site_type_symbol
_atom_site_fract_x
_atom_site_fract_y
_atom_site_fract_z
Be1 Be 0.000 0.500 0.250
Cu1 Cu 0.000 0.000 0.000
Re1 Re 0.000 0.000 0.342
```

Energy ... -6.5886 eV per atom
Offset from the most stable computed form ... 3.520 eV per formula unit
Energy relative to the elements ... 0.7004 eV/atom
D(E_F) ... 8.593 states/eV/cell